Density functional theory data (PBE+U) for an optimized crystal structure of Rb3HgW2O8.

Calculated values
- Density: 5.30 g/cm³
- D(E_F): 0.269 states/eV/atom
- Space group: P-3m1 (164)
- Total DFT energy (no corrections): -5.83 eV/atom

```
Rb3HgW2O8
1.0
6.447 0.000 0.000
-3.223 5.583 0.000
0.000 0.000 8.292
Rb Hg W O
3 1 2 8
Cartesian
0.000 0.000 0.000
0.000 3.722 5.491
3.223 1.861 2.802
0.000 0.000 4.146
0.000 3.722 1.704
3.223 1.861 6.588
0.000 2.013 2.347
-1.481 4.577 2.347
0.000 3.722 8.194
1.743 1.006 5.946
1.481 4.577 2.347
3.223 1.861 0.098
4.704 1.006 5.946
3.223 3.571 5.946
```